Entry 1:
# Gd2HoPb

An optimized crystal structure of Gd2HoPb (PBE-GGA, the Alexandria database).

## Properties
Energy relative to the lowest polymorph listed for this composition: 35.0 kJ/mol of atoms
V: 394.7 Å³ per cell
Energy: -36.252 eV per formula unit
DFT formation energy: 0.049 eV/atom
M_tot: 14.56 μB per formula unit

Lattice parameters (Å, degrees): 3.5453 3.5453 36.2612 90.00 90.00 120.00
Closest atoms and distances in Å follow each position.
Space group R-3m (No. 166, hexagonal axes)
One atom of each set of equivalent atoms:
Gd 0.0000 0.0000 0.0885 (multiplicity 6)  1 Pb 3.21, 3 Ho 3.50, 6 Gd 3.55
Ho 0.0000 0.0000 0.5000 (multiplicity 3)  6 Gd 3.50, 6 Ho 3.55
Pb 0.0000 0.0000 0.0000 (multiplicity 3)  2 Gd 3.21, 6 Pb 3.55

***

Entry 2:
# GdHoTlPb

An optimized crystal structure of GdHoTlPb (PBE-GGA, the Alexandria database).

## Properties
V: 450.6 Å³ per cell
Energy: -26.230 eV per formula unit
DFT formation energy: -0.374 eV/atom
M_tot: 7.24 μB per formula unit

Lattice parameters (Å, degrees): 7.6662 7.6662 7.6662 90.00 90.00 90.00
Closest atoms and distances in Å follow each position.
Space group F-43m (No. 216)
One atom of each set of equivalent atoms:
Gd 0.0000 0.0000 0.0000 (multiplicity 4)  4 Pb 3.32, 4 Tl 3.32
Ho 0.0000 0.0000 0.5000 (multiplicity 4)  4 Tl 3.32, 4 Pb 3.32
Tl 0.2500 0.2500 0.7500 (multiplicity 4)  4 Gd 3.32, 4 Ho 3.32
Pb 0.2500 0.2500 0.2500 (multiplicity 4)  4 Gd 3.32, 4 Ho 3.32

***

Entry 3:
# GdHoZnPb

An optimized crystal structure of GdHoZnPb (PBE-GGA, the Alexandria database).

## Properties
V: 411.9 Å³ per cell
Energy: -25.139 eV per formula unit
DFT formation energy: -0.374 eV/atom
M_tot: 7.43 μB per formula unit

Lattice parameters (Å, degrees): 7.4402 7.4402 7.4402 90.00 90.00 90.00
Closest atoms and distances in Å follow each position.
Space group F-43m (No. 216)
One atom of each set of equivalent atoms:
Gd 0.0000 0.0000 0.0000 (multiplicity 4)  4 Pb 3.22, 4 Zn 3.22
Ho 0.0000 0.0000 0.5000 (multiplicity 4)  4 Zn 3.22, 4 Pb 3.22
Zn 0.2500 0.2500 0.7500 (multiplicity 4)  4 Gd 3.22, 4 Ho 3.22
Pb 0.2500 0.2500 0.2500 (multiplicity 4)  4 Gd 3.22, 4 Ho 3.22

***

Entry 4:
# GdHoPd2

An optimized crystal structure of GdHoPd2 (PBE-GGA, the Alexandria database).

## Properties
Energy relative to the lowest polymorph listed for this composition: 0.3 kJ/mol of atoms
V: 349.7 Å³ per cell
Energy: -32.500 eV per formula unit
DFT formation energy: -0.864 eV/atom
M_tot: 7.23 μB per formula unit

Lattice parameters (Å, degrees): 7.0452 7.0452 7.0452 90.00 90.00 90.00
Closest atoms and distances in Å follow each position.
Space group Fm-3m (No. 225)
One atom of each set of equivalent atoms:
Gd 0.0000 0.0000 0.0000 (multiplicity 4)  8 Pd 3.05
Ho 0.0000 0.0000 0.5000 (multiplicity 4)  8 Pd 3.05
Pd 0.2500 0.2500 0.2500 (multiplicity 8)  4 Gd 3.05, 4 Ho 3.05

***

Entry 5:
# GdHoPd4

An optimized crystal structure of GdHoPd4 (PBE-GGA, the Alexandria database).

## Properties
V: 457.4 Å³ per cell
Energy: -44.285 eV per formula unit
DFT formation energy: -0.809 eV/atom
M_tot: 7.16 μB per formula unit

Lattice parameters (Å, degrees): 7.7050 7.7050 7.7050 90.00 90.00 90.00
Closest atoms and distances in Å follow each position.
Space group F-43m (No. 216)
One atom of each set of equivalent atoms:
Gd 0.0000 0.0000 0.0000 (multiplicity 4)  12 Pd 3.19, 4 Ho 3.34
Ho 0.2500 0.2500 0.2500 (multiplicity 4)  12 Pd 3.19, 4 Gd 3.34
Pd 0.1249 0.1249 0.6249 (multiplicity 16)  6 Pd 2.72-2.73

***

Entry 6:
# GdHoPd2

An optimized crystal structure of GdHoPd2 (PBE-GGA, the Alexandria database).

## Properties
Energy relative to the lowest polymorph listed for this composition: 0.0 kJ/mol of atoms
V: 87.0 Å³ per cell
Energy: -32.511 eV per formula unit
DFT formation energy: -0.867 eV/atom
M_tot: 7.08 μB per formula unit

Lattice parameters (Å, degrees): 5.0214 5.0214 3.4486 90.00 90.00 90.00
Closest atoms and distances in Å follow each position.
Space group P4/mmm (No. 123)
One atom of each set of equivalent atoms:
Gd 0.0000 0.0000 0.0000 (multiplicity 1)  8 Pd 3.05
Ho 0.5000 0.5000 0.0000 (multiplicity 1)  8 Pd 3.05
Pd 0.0000 0.5000 0.5000 (multiplicity 2)  4 Gd 3.05, 4 Ho 3.05

***

Entry 7:
# GdHoPd

An optimized crystal structure of GdHoPd (PBE-GGA, the Alexandria database).

## Properties
Energy relative to the lowest polymorph listed for this composition: 8.2 kJ/mol of atoms
V: 332.3 Å³ per cell
Energy: -25.250 eV per formula unit
DFT formation energy: -0.466 eV/atom
M_tot: 7.26 μB per formula unit

Lattice parameters (Å, degrees): 6.9266 6.9266 6.9266 90.00 90.00 90.00
Closest atoms and distances in Å follow each position.
Space group F-43m (No. 216)
One atom of each set of equivalent atoms:
Gd 0.0000 0.0000 0.0000 (multiplicity 4)  4 Pd 3.00
Ho 0.0000 0.0000 0.5000 (multiplicity 4)  4 Pd 3.00
Pd 0.2500 0.2500 0.2500 (multiplicity 4)  4 Gd 3.00, 4 Ho 3.00

***

Entry 8:
# GdHoPd

An optimized crystal structure of GdHoPd (PBE-GGA, the Alexandria database).

## Properties
Energy relative to the lowest polymorph listed for this composition: 15.3 kJ/mol of atoms
V: 75.5 Å³ per cell
Energy: -25.027 eV per formula unit
DFT formation energy: -0.392 eV/atom
M_tot: 7.28 μB per formula unit

Lattice parameters (Å, degrees): 4.7840 4.7840 3.8071 90.00 90.00 120.00
Closest atoms and distances in Å follow each position.
Space group P3m1 (No. 156)
One atom of each set of equivalent atoms:
Gd 0.0000 0.0000 0.0000 (multiplicity 1)  3 Pd 2.99, 3 Ho 3.27
Ho 0.3333 0.6667 0.4601 (multiplicity 1)  3 Pd 2.90
Pd 0.6667 0.3333 0.6963 (multiplicity 1)  3 Ho 2.90, 3 Gd 2.99

***

Entry 9:
# GdHoPd

An optimized crystal structure of GdHoPd (PBE-GGA, the Alexandria database).

## Properties
Energy relative to the lowest polymorph listed for this composition: 0.0 kJ/mol of atoms
V: 151.4 Å³ per cell
Energy: -25.504 eV per formula unit
DFT formation energy: -0.551 eV/atom
M_tot: 8.03 μB per formula unit

Lattice parameters (Å, degrees): 3.5787 3.5787 11.8199 90.00 90.00 90.00
Closest atoms and distances in Å follow each position.
Space group I4mm (No. 107)
One atom of each set of equivalent atoms:
Gd 0.0000 0.0000 0.0000 (multiplicity 2)  4 Pd 3.10, 1 Ho 3.37
Ho 0.0000 0.0000 0.2850 (multiplicity 2)  4 Pd 2.98
Pd 0.0000 0.0000 0.6512 (multiplicity 2)  4 Ho 2.98, 4 Gd 3.10

***

Entry 10:
# GdHoPd2

An optimized crystal structure of GdHoPd2 (PBE-GGA, the Alexandria database).

## Properties
Energy relative to the lowest polymorph listed for this composition: 12.8 kJ/mol of atoms
V: 290.6 Å³ per cell
Energy: -31.978 eV per formula unit
DFT formation energy: -0.734 eV/atom
M_tot: 7.20 μB per formula unit

Lattice parameters (Å, degrees): 4.0977 4.0977 19.9822 90.00 90.00 120.00
Closest atoms and distances in Å follow each position.
Space group R-3m (No. 166, hexagonal axes)
One atom of each set of equivalent atoms:
Gd 0.0000 0.0000 0.0000 (multiplicity 3)  6 Pd 2.92
Ho 0.0000 0.0000 0.5000 (multiplicity 3)  6 Pd 2.87
Pd 0.0000 0.0000 0.2477 (multiplicity 6)  3 Ho 2.87, 3 Gd 2.92

***

Entry 11:
# GdHoPdPt

An optimized crystal structure of GdHoPdPt (PBE-GGA, the Alexandria database).

## Properties
V: 346.1 Å³ per cell
Energy: -34.069 eV per formula unit
DFT formation energy: -1.044 eV/atom
M_tot: 7.25 μB per formula unit

Lattice parameters (Å, degrees): 7.0213 7.0213 7.0213 90.00 90.00 90.00
Closest atoms and distances in Å follow each position.
Space group F-43m (No. 216)
One atom of each set of equivalent atoms:
Gd 0.0000 0.0000 0.0000 (multiplicity 4)  4 Pt 3.04, 4 Pd 3.04
Ho 0.0000 0.0000 0.5000 (multiplicity 4)  4 Pd 3.04, 4 Pt 3.04
Pd 0.2500 0.2500 0.2500 (multiplicity 4)  4 Gd 3.04, 4 Ho 3.04
Pt 0.2500 0.2500 0.7500 (multiplicity 4)  4 Ho 3.04, 4 Gd 3.04

***

Entry 12:
# GdHoSiPd

An optimized crystal structure of GdHoSiPd (PBE-GGA, the Alexandria database).

## Properties
V: 350.3 Å³ per cell
Energy: -32.162 eV per formula unit
M_tot: 7.17 μB per formula unit
Raw formation energy: -0.722 eV per atom

Lattice parameters (Å, degrees): 7.0493 7.0493 7.0493 90.00 90.00 90.00
Closest atoms and distances in Å follow each position.
Space group F-43m (No. 216)
One atom of each set of equivalent atoms:
Gd 0.0000 0.0000 0.0000 (multiplicity 4)  4 Si 3.05, 4 Pd 3.05
Ho 0.0000 0.0000 0.5000 (multiplicity 4)  4 Pd 3.05, 4 Si 3.05
Si 0.2500 0.2500 0.2500 (multiplicity 4)  4 Gd 3.05, 4 Ho 3.05
Pd 0.2500 0.2500 0.7500 (multiplicity 4)  4 Gd 3.05, 4 Ho 3.05